{"formula": "PrCu2Pd5", "functional": "PBE", "state": "optimized geometry", "e_form_mev_per_atom": -282, "lattice_angstrom": [[-1.9504, 3.7026, 4.7988], [1.9504, -3.7026, 4.7988], [1.9504, 3.7026, -4.7988]], "species": ["Pr", "Cu", "Cu", "Pd", "Pd", "Pd", "Pd", "Pd"], "frac_coords": [[0.0000, 0.0000, 0.0000], [0.2406, 0.7406, 0.5000], [0.7594, 0.2594, 0.5000], [0.1633, 0.3520, 0.8112], [0.4592, 0.6480, 0.8112], [0.5000, 0.0000, 0.5000], [0.5408, 0.3520, 0.1888], [0.8367, 0.6480, 0.1888]]}

{"formula": "KHgHW2", "functional": "PBE", "state": "optimized geometry", "energy_ev_per_atom": -3.71, "lattice_angstrom": [[5.7872, 0.0000, 0.0000], [0.0000, 5.7872, 0.0000], [0.0000, 0.0000, 3.1413]], "species": ["K", "Hg", "H", "W", "W"], "frac_coords": [[0.0000, 0.0000, 0.0000], [0.5000, 0.5000, 0.5000], [0.5000, 0.5000, 0.0000], [0.0000, 0.5000, 0.5000], [0.5000, 0.0000, 0.5000]]}

{"formula": "Mg2CoB2", "functional": "PBE", "state": "optimized geometry", "e_form_mev_per_atom": 112, "lattice_angstrom": [[5.5935, 0.0000, 0.0000], [0.0000, 5.5935, 0.0000], [0.0000, 0.0000, 3.5859]], "species": ["Mg", "Mg", "Mg", "Mg", "Co", "Co", "B", "B", "B", "B"], "frac_coords": [[0.1865, 0.3135, 0.0000], [0.3135, 0.8135, 0.0000], [0.6865, 0.1865, 0.0000], [0.8135, 0.6865, 0.0000], [0.0000, 0.0000, 0.5000], [0.5000, 0.5000, 0.5000], [0.1058, 0.6058, 0.5000], [0.3942, 0.1058, 0.5000], [0.6058, 0.8942, 0.5000], [0.8942, 0.3942, 0.5000]]}

{"formula": "RuAu4", "functional": "PBE", "state": "optimized geometry", "e_form_mev_per_atom": 1244, "polymorph_energy_ev_per_atom": 0.9553, "lattice_angstrom": [[5.0131, 0.0000, 0.0000], [0.0000, 5.0131, 0.0000], [0.0000, 0.0000, 5.0131]], "species": ["Ru", "Au", "Au", "Au", "Au"], "frac_coords": [[0.0000, 0.0000, 0.0000], [0.0000, 0.0000, 0.5000], [0.0000, 0.5000, 0.0000], [0.5000, 0.0000, 0.0000], [0.5000, 0.5000, 0.5000]]}

{"formula": "Ce6SnBi2", "functional": "PBE", "state": "optimized geometry", "e_form_mev_per_atom": -270, "lattice_angstrom": [[9.1424, 0.0000, 0.0000], [-4.5712, 7.9175, 0.0000], [0.0000, 0.0000, 3.3100]], "species": ["Ce", "Ce", "Ce", "Ce", "Ce", "Ce", "Sn", "Bi", "Bi"], "frac_coords": [[0.0000, 0.3230, 0.0000], [0.0000, 0.6770, 0.0000], [0.3230, 0.0000, 0.0000], [0.3230, 0.3230, 0.0000], [0.6770, 0.0000, 0.0000], [0.6770, 0.6770, 0.0000], [0.0000, 0.0000, 0.5000], [0.3333, 0.6667, 0.5000], [0.6667, 0.3333, 0.5000]]}

{"formula": "CsI2BrO", "functional": "PBE", "state": "optimized geometry", "e_form_raw_ev_per_fu": 1.8, "polymorph_energy_ev_per_atom": 0.5667, "lattice_angstrom": [[7.4854, 0.0000, 0.0000], [0.0000, 7.4854, 0.0000], [0.0000, 0.0000, 4.4008]], "species": ["Cs", "I", "I", "Br", "O"], "frac_coords": [[0.0000, 0.0000, 0.0000], [0.0000, 0.5000, 0.0000], [0.5000, 0.0000, 0.0000], [0.5000, 0.5000, 0.5000], [0.0000, 0.0000, 0.5000]]}

{"formula": "MgScTc2", "functional": "PBE", "state": "optimized geometry", "e_form_mev_per_atom": 143, "lattice_angstrom": [[1.4540, 0.8394, 9.5490], [-1.4540, 0.8394, 9.5490], [0.0000, -1.6789, 9.5490]], "species": ["Mg", "Sc", "Tc", "Tc"], "frac_coords": [[0.0000, 0.0000, 0.0000], [0.2350, 0.2350, 0.2350], [0.4856, 0.4856, 0.4856], [0.7486, 0.7486, 0.7486]]}

{"formula": "Ce2VPd", "functional": "PBE", "state": "optimized geometry", "e_form_mev_per_atom": 156, "lattice_angstrom": [[1.4755, 0.8519, 10.3110], [-1.4755, 0.8519, 10.3110], [0.0000, -1.7038, 10.3110]], "species": ["Ce", "Ce", "V", "Pd"], "frac_coords": [[0.0833, 0.0833, 0.0833], [0.9167, 0.9167, 0.9167], [0.0000, 0.0000, 0.0000], [0.5000, 0.5000, 0.5000]]}

{"formula": "PuTeO", "functional": "PBE", "state": "optimized geometry", "e_form_raw_ev_per_fu": -5.0, "lattice_angstrom": [[6.5825, 0.0000, 0.0000], [0.0000, 3.1702, 0.0000], [0.0000, 0.0000, 14.0384]], "species": ["Pu", "Pu", "Pu", "Pu", "Te", "Te", "Te", "Te", "O", "O", "O", "O"], "frac_coords": [[0.0018, 0.2500, 0.2501], [0.4982, 0.7500, 0.7501], [0.5018, 0.2500, 0.2499], [0.9982, 0.7500, 0.7499], [0.2486, 0.2500, 0.5742], [0.2514, 0.7500, 0.0742], [0.7486, 0.2500, 0.9258], [0.7514, 0.7500, 0.4258], [0.2482, 0.2500, 0.7928], [0.2518, 0.7500, 0.2928], [0.7482, 0.2500, 0.7072], [0.7518, 0.7500, 0.2072]]}

{"formula": "TiSbRu2", "functional": "PBE", "state": "optimized geometry", "e_form_raw_ev_per_fu": 0.8, "lattice_angstrom": [[-2.0577, 2.0577, 8.5687], [2.0577, -2.0577, 8.5687], [2.0577, 2.0577, -8.5687]], "species": ["Ti", "Ti", "Sb", "Sb", "Ru", "Ru", "Ru", "Ru"], "frac_coords": [[0.0000, 0.0000, 0.0000], [0.7500, 0.2500, 0.5000], [0.2500, 0.7500, 0.5000], [0.5000, 0.5000, 0.0000], [0.0809, 0.6250, 0.9559], [0.3750, 0.3309, 0.4559], [0.6691, 0.1250, 0.0441], [0.8750, 0.9191, 0.5441]]}

{"formula": "HfSn3H", "functional": "PBE", "state": "optimized geometry", "polymorph_energy_ev_per_atom": 0.0000, "lattice_angstrom": [[4.6460, 0.0000, 0.0000], [0.0000, 4.6460, 0.0000], [0.0000, 0.0000, 4.6460]], "species": ["Hf", "Sn", "Sn", "Sn", "H"], "frac_coords": [[0.0000, 0.0000, 0.0000], [0.0000, 0.5000, 0.5000], [0.5000, 0.0000, 0.5000], [0.5000, 0.5000, 0.0000], [0.5000, 0.5000, 0.5000]]}

{"formula": "NbInReN2", "functional": "PBE", "state": "optimized geometry", "e_form_raw_ev_per_fu": 5.7, "lattice_angstrom": [[4.0419, 0.0000, 0.0000], [0.0000, 4.0419, 0.0000], [0.0000, 0.0000, 5.4155]], "species": ["Nb", "In", "Re", "N", "N"], "frac_coords": [[0.0000, 0.0000, 0.0000], [0.5000, 0.5000, 0.5000], [0.0000, 0.0000, 0.5000], [0.0000, 0.5000, 0.0000], [0.5000, 0.0000, 0.0000]]}